[1]
The following is a DFT calculation (SCAN) of AgAsSe at its PBEsol-relaxed geometry.

The structure belongs to space group F-43m (No. 216); the cell edges are 6.334, 6.334 and 6.334 Å and the angles 90.00°, 90.00° and 90.00°. The distinct sites, in fractional coordinates, are Ag at (0.000, 0.000, 0.000), As at (0.250, 0.250, 0.250) and Se at (0.250, 0.250, 0.750).

The crystal system is cubic.

***

[2]
The following is a DFT calculation (SCAN) of AgAsSe at its PBEsol-relaxed geometry.

The structure belongs to space group P3m1 (No. 156); the cell edges are 4.9278, 4.9278 and 2.7897 Å and the angles 90.00°, 90.00° and 120.00°. The distinct sites, in fractional coordinates, are Ag at (0.0000, 0.0000, 0.0000), As at (0.3333, 0.6667, 0.9958) and Se at (0.6667, 0.3333, 0.9977).

The crystal system is trigonal.

***

no.,DFT total energy (eV per cell),magnetic moment (μB/cell)
1,-282.3,0.00
2,-70.8,0.00